(1)
The following is a PBE calculation of an optimized crystal structure of Ce4HgTe, from the Alexandria database.

## Properties
Total magnetic moment, μB per formula unit: 2.69
E_tot, eV per atom: -4.8666
ΔE_f (raw), kcal/mol of atoms: -7.77

The structure in CIF format:
```
data_Ce4HgTe
_space_group_name_H-M_alt 'C 1 2/c 1'
_space_group_IT_number 15
_space_group_name_Hall '-C 2yc'
_cell_length_a 17.635
_cell_length_b 5.547
_cell_length_c 6.989
_cell_angle_alpha 90.00
_cell_angle_beta 94.26
_cell_angle_gamma 90.00
loop_
_atom_site_label
_atom_site_fract_x
_atom_site_fract_y
_atom_site_fract_z
Ce1 0.079 0.113 0.410
Ce2 0.148 0.278 0.088
Hg1 0.250 0.250 0.500
Te1 0.000 0.385 0.750
```

(2)
The following is a PBE calculation of an optimized crystal structure of CrHg2Cl, from the Alexandria database.

## Properties
Total magnetic moment, μB per formula unit: 4.88
E_tot, eV per atom: -2.8186
ΔE_f (raw), kcal/mol of atoms: 4.61

The structure in CIF format:
```
data_CrHg2Cl
_space_group_name_H-M_alt 'I -4 m 2'
_space_group_IT_number 119
_space_group_name_Hall 'I -4 -2'
_cell_length_a 4.625
_cell_length_b 4.625
_cell_length_c 8.666
_cell_angle_alpha 90.00
_cell_angle_beta 90.00
_cell_angle_gamma 90.00
loop_
_atom_site_label
_atom_site_fract_x
_atom_site_fract_y
_atom_site_fract_z
Cr1 0.000 0.000 0.000
Hg1 0.000 0.000 0.500
Hg2 0.000 0.500 0.750
Cl1 0.000 0.500 0.250
```

(3)
The following is a PBE calculation of an optimized crystal structure of AcTm2Cd9, from the Alexandria database.

## Properties
Total magnetic moment, μB per formula unit: 0.00
E_tot, eV per atom: -2.0027
DFT formation energy, meV per atom: -229

The structure in CIF format:
```
data_AcTm2Cd9
_space_group_name_H-M_alt 'R -3 m'
_space_group_IT_number 166
_space_group_name_Hall '-R 3 2"'
_cell_length_a 6.0060
_cell_length_b 6.0060
_cell_length_c 28.5577
_cell_angle_alpha 90.00
_cell_angle_beta 90.00
_cell_angle_gamma 120.00
loop_
_atom_site_label
_atom_site_fract_x
_atom_site_fract_y
_atom_site_fract_z
Ac1 0.0000 0.0000 0.0000
Tm1 0.0000 0.0000 0.1450
Cd1 0.0000 0.0000 0.3355
Cd2 0.0000 0.0000 0.5000
Cd3 0.0093 0.5047 0.9133
```

(4)
The following is a PBE calculation of an optimized crystal structure of Pm2Y4Tm3, from the Alexandria database.

## Properties
Total magnetic moment, μB per formula unit: 0.00
E_tot, eV per atom: -5.3269
DFT formation energy, meV per atom: 92

The structure in CIF format:
```
data_Pm2Y4Tm3
_space_group_name_H-M_alt 'C 1 2/c 1'
_space_group_IT_number 15
_space_group_name_Hall '-C 2yc'
_cell_length_a 16.188
_cell_length_b 11.617
_cell_length_c 6.147
_cell_angle_alpha 90.00
_cell_angle_beta 95.90
_cell_angle_gamma 90.00
loop_
_atom_site_label
_atom_site_fract_x
_atom_site_fract_y
_atom_site_fract_z
Pm1 0.121 0.146 0.323
Y1 0.047 0.358 0.014
Y2 0.214 0.138 0.848
Tm1 0.000 0.096 0.750
Tm2 0.166 0.402 0.590
```

(5)
The following is a PBE calculation of an optimized crystal structure of SiMoBr2, from the Alexandria database.

## Properties
Total magnetic moment, μB per formula unit: 0.39
E_tot, eV per atom: -4.7128
ΔE_f (raw), kcal/mol of atoms: 4.32

The structure in CIF format:
```
data_SiMoBr2
_space_group_name_H-M_alt 'C m m m'
_space_group_IT_number 65
_space_group_name_Hall '-C 2 2'
_cell_length_a 4.809
_cell_length_b 14.526
_cell_length_c 3.398
_cell_angle_alpha 90.00
_cell_angle_beta 90.00
_cell_angle_gamma 90.00
loop_
_atom_site_label
_atom_site_fract_x
_atom_site_fract_y
_atom_site_fract_z
Si1 0.000 0.000 0.000
Mo1 0.000 0.500 0.000
Br1 0.000 0.363 0.500
```

(6)
The following is a PBE calculation of an optimized crystal structure of Sc2TlZn, from the Alexandria database.

## Properties
Total magnetic moment, μB per formula unit: 0.00
E_tot, eV per atom: -4.4015
DFT formation energy, meV per atom: -326

The structure in CIF format:
```
data_Sc2TlZn
_space_group_name_H-M_alt 'P 4/m m m'
_space_group_IT_number 123
_space_group_name_Hall '-P 4 2'
_cell_length_a 3.471
_cell_length_b 3.471
_cell_length_c 6.975
_cell_angle_alpha 90.00
_cell_angle_beta 90.00
_cell_angle_gamma 90.00
loop_
_atom_site_label
_atom_site_fract_x
_atom_site_fract_y
_atom_site_fract_z
Sc1 0.000 0.000 0.227
Tl1 0.500 0.500 0.500
Zn1 0.500 0.500 0.000
```

(7)
The following is a PBE calculation of an optimized crystal structure of Pm5NdHo12, from the Alexandria database.

## Properties
Total magnetic moment, μB per formula unit: 0.00
E_tot, eV per atom: -4.5343
DFT formation energy, meV per atom: 102

The structure in CIF format:
```
data_Pm5NdHo12
_space_group_name_H-M_alt 'C 1 2/m 1'
_space_group_IT_number 12
_space_group_name_Hall '-C 2y'
_cell_length_a 11.339
_cell_length_b 17.318
_cell_length_c 5.947
_cell_angle_alpha 90.00
_cell_angle_beta 90.00
_cell_angle_gamma 90.00
loop_
_atom_site_label
_atom_site_fract_x
_atom_site_fract_y
_atom_site_fract_z
Pm1 0.000 0.000 0.000
Pm2 0.000 0.168 0.500
Pm3 0.000 0.333 0.000
Nd1 0.000 0.500 0.500
Ho1 0.176 0.000 0.450
Ho2 0.177 0.500 0.050
Ho3 0.178 0.167 0.053
Ho4 0.178 0.333 0.447
```

(8)
The following is a PBE calculation of an optimized crystal structure of NaTb2Cu, from the Alexandria database.

## Properties
Total magnetic moment, μB per formula unit: 0.00
E_tot, eV per atom: -3.4801
DFT formation energy, meV per atom: 189

The structure in CIF format:
```
data_NaTb2Cu
_space_group_name_H-M_alt 'R -3 m'
_space_group_IT_number 166
_space_group_name_Hall '-R 3 2"'
_cell_length_a 3.5299
_cell_length_b 3.5299
_cell_length_c 33.2060
_cell_angle_alpha 90.00
_cell_angle_beta 90.00
_cell_angle_gamma 120.00
loop_
_atom_site_label
_atom_site_fract_x
_atom_site_fract_y
_atom_site_fract_z
Na1 0.0000 0.0000 0.0000
Tb1 0.0000 0.0000 0.1064
Cu1 0.0000 0.0000 0.5000
```